Entry 1:
TaSiW4: optimized geometry, PBE-GGA.

Results
The uncorrected formation energy comes out at 8.95 kcal/mol of atoms. For the total energy, the calculation gives -11.13 eV per atom. The calculated volume is 102.88 Å³/f.u. The calculation puts the total magnetic moment at 0.00 μB/cell. The space group is F-43m.

Cell lengths 5.2596, 5.2596, 5.2596 Å; angles 60.00, 60.00, 60.00 degrees
Closest atoms and distances in Å follow each position.
Fractional positions:
Ta (0.0000, 0.0000, 0.0000)  12 W 3.08, 4 Si 3.22
Si (0.2500, 0.2500, 0.2500)  12 W 3.08, 4 Ta 3.22
W (0.6248, 0.6248, 0.1256)  6 W 2.63
W (0.6248, 0.1256, 0.6248)  6 W 2.63
W (0.6248, 0.6248, 0.6248)  6 W 2.63
W (0.1256, 0.6248, 0.6248)  6 W 2.63

=====

Entry 2:
Cs2TiCu2Se6: optimized geometry, PBE-GGA.

Results
The uncorrected formation energy comes out at -13.67 kcal/mol of atoms. For the total energy, the calculation gives -4.11 eV per atom. The calculated volume is 345.00 Å³/f.u. The calculation puts the total magnetic moment at 0.00 μB/cell. The space group is R-3m.

Cell lengths 7.2687, 7.2631, 8.6342 Å; angles 114.86, 90.00, 120.03 degrees
Closest atoms and distances in Å follow each position.
Fractional positions:
Cs (0.7268, 0.4536, 0.1800)  9 Se 3.71-3.94, 1 Cu 3.89
Cs (0.2732, 0.5464, 0.8200)  9 Se 3.71-3.94, 1 Cu 3.89
Ti (0.5000, 0.0000, 0.5000)  6 Se 2.55
Cu (0.8988, 0.7976, 0.6958)  3 Se 2.30
Cu (0.1012, 0.2024, 0.3042)  3 Se 2.30
Se (0.7262, 0.4523, 0.7235)  1 Cu 2.30, 1 Ti 2.55
Se (0.2740, 0.0026, 0.2765)  1 Cu 2.30, 1 Ti 2.55
Se (0.2714, 0.9974, 0.7235)  1 Cu 2.30, 1 Ti 2.55
Se (0.7260, 0.9974, 0.7235)  1 Cu 2.30, 1 Ti 2.55
Se (0.7286, 0.0026, 0.2765)  1 Cu 2.30, 1 Ti 2.55
Se (0.2738, 0.5477, 0.2765)  1 Cu 2.30, 1 Ti 2.55

=====

Entry 3:
HfNiHg: optimized geometry, PBE-GGA.

Results
The energy above the lowest structure with this stoichiometry comes out at 0.66 eV per formula unit. As for the energy of formation: -2.57 kcal/mol of atoms. For the total energy, the calculation gives -5.46 eV per atom. The calculated volume is 54.60 Å³/f.u. The calculation puts the total magnetic moment at 0.00 μB/cell. The space group is Cmc2_1.

Cell lengths 3.2978, 9.1854, 7.2103 Å; angles 90.00, 90.00, 90.00 degrees
Closest atoms and distances in Å follow each position.
Fractional positions:
Hf (0.0000, 0.5536, 0.0277)  4 Ni 2.66-2.80, 3 Hg 2.86-2.95
Hf (0.0000, 0.4464, 0.5277)  4 Ni 2.66-2.80, 3 Hg 2.86-2.95
Hf (0.5000, 0.0536, 0.0277)  4 Ni 2.66-2.80, 3 Hg 2.86-2.95
Hf (0.5000, 0.9464, 0.5277)  4 Ni 2.66-2.80, 3 Hg 2.86-2.95
Ni (0.0000, 0.8863, 0.8315)  4 Hf 2.66-2.80, 4 Hg 2.73-2.78
Ni (0.0000, 0.1137, 0.3315)  4 Hf 2.66-2.80, 4 Hg 2.73-2.78
Ni (0.5000, 0.3863, 0.8315)  4 Hf 2.66-2.80, 4 Hg 2.73-2.78
Ni (0.5000, 0.6137, 0.3315)  4 Hf 2.66-2.80, 4 Hg 2.73-2.78
Hg (0.0000, 0.1698, 0.7110)  4 Ni 2.73-2.78, 5 Hf 2.86-3.01
Hg (0.0000, 0.8302, 0.2110)  4 Ni 2.73-2.78, 5 Hf 2.86-3.01
Hg (0.5000, 0.6698, 0.7110)  4 Ni 2.73-2.78, 5 Hf 2.86-3.01
Hg (0.5000, 0.3302, 0.2110)  4 Ni 2.73-2.78, 5 Hf 2.86-3.01

=====

Entry 4:
Cs3Ce3ScTe8: optimized geometry, PBE-GGA.

Results
The uncorrected formation energy comes out at -30.08 kcal/mol of atoms. For the total energy, the calculation gives -4.76 eV per atom. The calculated volume is 652.38 Å³/f.u. The calculation puts the total magnetic moment at 2.01 μB/cell. The space group is C2/m.

Cell lengths 9.0967, 9.0985, 10.5147 Å; angles 115.68, 90.01, 120.01 degrees
Closest atoms and distances in Å follow each position.
Fractional positions:
Cs (0.0000, 0.0000, 0.0000)  6 Te 3.82-3.86
Cs (0.0000, 0.5000, 0.0000)  6 Te 3.83-3.86
Cs (0.5000, 0.5000, 0.0000)  6 Te 3.83-3.86
Ce (0.5000, 0.0000, 0.5000)  6 Te 3.16-3.17
Ce (0.5000, 0.5000, 0.5000)  6 Te 3.16-3.17
Ce (0.0000, 0.5000, 0.5000)  6 Te 3.16-3.17
Sc (0.0000, 0.0000, 0.5000)  6 Te 3.01
Te (0.2683, 0.5367, 0.3054)  3 Ce 3.17
Te (0.7317, 0.4633, 0.6946)  3 Ce 3.17
Te (0.7798, 0.5596, 0.3167)  1 Sc 3.01, 2 Ce 3.16
Te (0.2202, 0.4404, 0.6833)  1 Sc 3.01, 2 Ce 3.16
Te (0.7799, 0.0366, 0.3168)  1 Sc 3.01, 2 Ce 3.16
Te (0.2201, 0.9634, 0.6832)  1 Sc 3.01, 2 Ce 3.16
Te (0.2566, 0.0366, 0.3169)  1 Sc 3.01, 2 Ce 3.16
Te (0.7434, 0.9634, 0.6831)  1 Sc 3.01, 2 Ce 3.16

=====

Entry 5:
KCrP2S: optimized geometry, PBE-GGA.

Results
The uncorrected formation energy comes out at -0.68 kcal/mol of atoms. The energy above the lowest structure with this stoichiometry comes out at 0.00 eV per formula unit. For the total energy, the calculation gives -5.16 eV per atom. The calculated volume is 102.05 Å³/f.u. The calculation puts the total magnetic moment at 1.48 μB/cell. The space group is P4/mmm.

Cell lengths 4.4553, 4.4553, 5.1410 Å; angles 90.00, 90.00, 90.00 degrees
Closest atoms and distances in Å follow each position.
Fractional positions:
Cr (0.0000, 0.0000, 0.0000)  4 P 2.23
K (0.5000, 0.5000, 0.5000)  4 S 3.15, 8 P 3.40
S (0.0000, 0.0000, 0.5000)  2 Cr 2.57
P (0.0000, 0.5000, 0.0000)  2 Cr 2.23
P (0.5000, 0.0000, 0.0000)  2 Cr 2.23

=====

Entry 6:
DyB4Rh12: optimized geometry, PBE-GGA.

Results
As for the energy of formation: -3.25 kcal/mol of atoms. For the total energy, the calculation gives -7.17 eV per atom. The calculated volume is 234.28 Å³/f.u. The calculation puts the total magnetic moment at 0.00 μB/cell. The space group is Im-3.

Cell lengths 6.7265, 6.7265, 6.7265 Å; angles 109.47, 109.47, 109.47 degrees
Closest atoms and distances in Å follow each position.
Fractional positions:
Dy (0.0000, 0.0000, 0.0000)  12 Rh 2.83
B (0.0000, 0.5000, 0.0000)  6 Rh 2.11
B (0.5000, 0.0000, 0.0000)  6 Rh 2.11
B (0.5000, 0.5000, 0.5000)  6 Rh 2.11
B (0.0000, 0.0000, 0.5000)  6 Rh 2.11
Rh (0.8277, 0.3207, 0.1485)  2 B 2.11
Rh (0.3207, 0.4930, 0.1723)  2 B 2.11
Rh (0.8515, 0.1723, 0.6793)  2 B 2.11
Rh (0.3207, 0.1485, 0.8277)  2 B 2.11
Rh (0.1485, 0.8277, 0.3207)  2 B 2.11
Rh (0.6793, 0.5070, 0.8277)  2 B 2.11
Rh (0.4930, 0.1723, 0.3207)  2 B 2.11
Rh (0.5070, 0.8277, 0.6793)  2 B 2.11
Rh (0.6793, 0.8515, 0.1723)  2 B 2.11
Rh (0.8277, 0.6793, 0.5070)  2 B 2.11
Rh (0.1723, 0.3207, 0.4930)  2 B 2.11
Rh (0.1723, 0.6793, 0.8515)  2 B 2.11

=====

Entry 7:
ScTa2Al: optimized geometry, PBE-GGA.

Results
As for the energy of formation: -1.22 kcal/mol of atoms. For the total energy, the calculation gives -8.50 eV per atom. The calculated volume is 74.75 Å³/f.u. The calculation puts the total magnetic moment at 0.00 μB/cell. The space group is P4mm.

Cell lengths 2.8788, 2.8788, 9.0195 Å; angles 90.00, 90.00, 90.00 degrees
Closest atoms and distances in Å follow each position.
Fractional positions:
Sc (0.5000, 0.5000, 0.7412)  4 Sc 2.88, 4 Al 3.05, 4 Ta 3.14
Al (0.0000, 0.0000, 0.4895)  4 Al 2.88, 4 Ta 2.88, 4 Sc 3.05
Ta (0.0000, 0.0000, 0.0060)  8 Ta 2.88-3.09, 4 Sc 3.14
Ta (0.5000, 0.5000, 0.2633)  8 Ta 2.88-3.09, 4 Al 2.88

=====

Entry 8:
AcErGa4: optimized geometry, PBE-GGA.

Results
The energy above the lowest structure with this stoichiometry comes out at 0.36 eV per formula unit. As for the energy of formation: -12.91 kcal/mol of atoms. For the total energy, the calculation gives -4.02 eV per atom. The calculated volume is 144.78 Å³/f.u. The calculation puts the total magnetic moment at 0.00 μB/cell. The space group is Pbam.

Cell lengths 4.4207, 8.2611, 15.8573 Å; angles 90.00, 90.00, 90.00 degrees
Closest atoms and distances in Å follow each position.
Fractional positions:
Ac (0.0000, 0.6322, 0.3520)  14 Ga 3.39-3.76
Ac (0.0000, 0.3678, 0.6480)  14 Ga 3.39-3.76
Ac (0.0000, 0.1322, 0.1480)  14 Ga 3.39-3.76
Ac (0.0000, 0.8678, 0.8520)  14 Ga 3.39-3.76
Er (0.0000, 0.6302, 0.0846)  10 Ga 3.06-3.09
Er (0.0000, 0.3698, 0.9154)  10 Ga 3.06-3.09
Er (0.0000, 0.1302, 0.4154)  10 Ga 3.06-3.09
Er (0.0000, 0.8698, 0.5846)  10 Ga 3.06-3.09
Ga (0.5000, 0.7949, 0.1869)  3 Ga 2.42-2.54
Ga (0.5000, 0.2051, 0.8131)  3 Ga 2.42-2.54
Ga (0.5000, 0.2949, 0.3131)  3 Ga 2.42-2.54
Ga (0.5000, 0.7051, 0.6869)  3 Ga 2.42-2.54
Ga (0.5000, 0.8705, 0.0333)  3 Ga 2.39-2.51
Ga (0.5000, 0.1295, 0.9667)  3 Ga 2.39-2.51
Ga (0.5000, 0.3705, 0.4667)  3 Ga 2.39-2.51
Ga (0.5000, 0.6295, 0.5333)  3 Ga 2.39-2.51
Ga (0.5000, 0.8824, 0.4490)  3 Ga 2.48-2.53
Ga (0.5000, 0.1176, 0.5510)  3 Ga 2.48-2.53
Ga (0.5000, 0.3824, 0.0510)  3 Ga 2.48-2.53
Ga (0.5000, 0.6176, 0.9490)  3 Ga 2.48-2.53
Ga (0.5000, 0.9880, 0.3016)  3 Ga 2.42-2.54
Ga (0.5000, 0.0120, 0.6984)  3 Ga 2.42-2.54
Ga (0.5000, 0.4880, 0.1984)  3 Ga 2.42-2.54
Ga (0.5000, 0.5120, 0.8016)  3 Ga 2.42-2.54

=====

Entry 9:
DyHo3: optimized geometry, PBE-GGA.

Results
The energy above the lowest structure with this stoichiometry comes out at 0.06 eV per formula unit. As for the energy of formation: 0.41 kcal/mol of atoms. For the total energy, the calculation gives -4.57 eV per atom. The calculated volume is 123.20 Å³/f.u. The calculation puts the total magnetic moment at 0.00 μB/cell. The space group is I4/mmm.

Cell lengths 6.1027, 6.1027, 6.1027 Å; angles 131.95, 131.95, 70.31 degrees
Closest atoms and distances in Å follow each position.
Fractional positions:
Ho (0.7500, 0.2500, 0.5000)  8 Ho 3.51-3.52, 4 Dy 3.52
Ho (0.2500, 0.7500, 0.5000)  8 Ho 3.51-3.52, 4 Dy 3.52
Ho (0.5000, 0.5000, 0.0000)  4 Dy 3.51, 8 Ho 3.52
Dy (0.0000, 0.0000, 0.0000)  12 Ho 3.51-3.52

=====

Entry 10:
KCo2Ni: optimized geometry, PBE-GGA.

Results
The energy above the lowest structure with this stoichiometry comes out at 2.01 eV per formula unit. As for the energy of formation: 25.49 kcal/mol of atoms. For the total energy, the calculation gives -4.17 eV per atom. The calculated volume is 60.17 Å³/f.u. The calculation puts the total magnetic moment at 3.67 μB/cell. The space group is Cmmm.

Cell lengths 5.2099, 5.2099, 2.5372 Å; angles 90.00, 90.00, 119.10 degrees
Closest atoms and distances in Å follow each position.
Fractional positions:
Co (0.0000, 0.0000, 0.0000)  4 Co 2.54-2.64
Co (0.5000, 0.5000, 0.0000)  4 Co 2.54-2.64
K (0.5000, 0.0000, 0.5000)  2 K 2.54, 2 Ni 2.64
Ni (0.0000, 0.5000, 0.5000)  2 Ni 2.54, 2 K 2.64

=====

Entry 11:
NbVFe2: optimized geometry, PBE-GGA.

Results
The energy above the lowest structure with this stoichiometry comes out at 2.74 eV per formula unit. As for the energy of formation: 13.51 kcal/mol of atoms. For the total energy, the calculation gives -8.44 eV per atom. The calculated volume is 58.92 Å³/f.u. The calculation puts the total magnetic moment at 8.56 μB/cell. The space group is I-42d.

Cell lengths 3.5720, 3.5720, 9.5750 Å; angles 79.25, 79.25, 90.00 degrees
Closest atoms and distances in Å follow each position.
Fractional positions:
Nb (0.0000, 0.0000, 0.0000)  4 V 2.53, 4 Fe 2.65
Nb (0.7500, 0.2500, 0.5000)  4 V 2.53, 4 Fe 2.65
Fe (0.6106, 0.1250, 0.2500)  4 Fe 2.45-2.60, 2 V 2.61, 2 Nb 2.65
Fe (0.1394, 0.6250, 0.2500)  4 Fe 2.45-2.60, 2 V 2.61, 2 Nb 2.65
Fe (0.3750, 0.3894, 0.7500)  4 Fe 2.45-2.60, 2 V 2.61, 2 Nb 2.65
Fe (0.8750, 0.8606, 0.7500)  4 Fe 2.45-2.60, 2 V 2.61, 2 Nb 2.65
V (0.5000, 0.5000, 0.0000)  4 Nb 2.53, 4 Fe 2.61
V (0.2500, 0.7500, 0.5000)  4 Nb 2.53, 4 Fe 2.61

=====

Entry 12:
CsTl10Au3: optimized geometry, PBE-GGA.

Results
As for the energy of formation: -0.11 kcal/mol of atoms. For the total energy, the calculation gives -2.46 eV per atom. The calculated volume is 447.93 Å³/f.u. The calculation puts the total magnetic moment at 0.00 μB/cell. The space group is Fm-3m.

Cell lengths 10.8206, 10.8206, 10.8206 Å; angles 60.00, 60.00, 60.00 degrees
Closest atoms and distances in Å follow each position.
Fractional positions:
Cs (0.2500, 0.2500, 0.2500)  4 Tl 3.66
Cs (0.7500, 0.7500, 0.7500)  4 Tl 3.66
Tl (0.3372, 0.0000, 0.0000)  2 Au 2.99
Tl (0.0000, 0.0000, 0.3372)  2 Au 2.99
Tl (0.0000, 0.3372, 0.0000)  2 Au 2.99
Tl (0.0000, 0.6628, 0.3372)  2 Au 2.99
Tl (0.3880, 0.3880, 0.3880)  3 Au 3.04
Tl (0.6120, 0.1640, 0.6120)  3 Au 3.04
Tl (0.3880, 0.3880, 0.8360)  3 Au 3.04
Tl (0.3372, 0.6628, 0.0000)  2 Au 2.99
Tl (0.8360, 0.3880, 0.3880)  3 Au 3.04
Tl (0.3880, 0.8360, 0.3880)  3 Au 3.04
Tl (0.1640, 0.6120, 0.6120)  3 Au 3.04
Tl (0.6628, 0.0000, 0.0000)  2 Au 2.99
Tl (0.0000, 0.3372, 0.6628)  2 Au 2.99
Tl (0.3372, 0.0000, 0.6628)  2 Au 2.99
Tl (0.6628, 0.0000, 0.3372)  2 Au 2.99
Tl (0.0000, 0.6628, 0.0000)  2 Au 2.99
Tl (0.6120, 0.6120, 0.6120)  3 Au 3.04
Tl (0.0000, 0.0000, 0.6628)  2 Au 2.99
Tl (0.6120, 0.6120, 0.1640)  3 Au 3.04
Tl (0.6628, 0.3372, 0.0000)  2 Au 2.99
Au (0.2676, 0.7324, 0.7324)  8 Tl 2.99-3.04
Au (0.7324, 0.7324, 0.2676)  8 Tl 2.99-3.04
Au (0.7324, 0.2676, 0.7324)  8 Tl 2.99-3.04
Au (0.7324, 0.2676, 0.2676)  8 Tl 2.99-3.04
Au (0.2676, 0.7324, 0.2676)  8 Tl 2.99-3.04
Au (0.2676, 0.2676, 0.7324)  8 Tl 2.99-3.04